# 1
DFT (GGA-PBE) results for an optimized crystal structure of K6BiAu2.

## Properties
**Total moment**: 0.01 μB per cell
**Formation energy**: -235 kJ/mol of formula units
**Space-group type**: No. 71
**Density of states at the Fermi level**: 0.502 states/eV/atom

Cell lengths 9.9652, 9.9652, 9.9652 Å; angles 114.50, 111.67, 102.48 degrees
Last column: nearest neighbours and their distance in Å.
Fractional coordinates of all 18 atoms:
K 0.0683 0.2492 0.8191  1 Au 3.35, 2 Bi 3.71-3.73
K 0.1799 0.2915 0.4714  3 Au 3.37-3.38, 1 Bi 3.73
K 0.1799 0.7085 0.8884  3 Au 3.37-3.38, 1 Bi 3.73
K 0.3513 0.0282 0.6769  3 Au 3.45-3.54, 2 K 3.71-3.81
K 0.3513 0.6745 0.3231  3 Au 3.45-3.54, 2 K 3.71-3.81
K 0.4301 0.2492 0.1809  1 Au 3.35, 2 Bi 3.71-3.73
K 0.5699 0.7508 0.8191  1 Au 3.35, 2 Bi 3.71-3.73
K 0.6487 0.3255 0.6769  3 Au 3.45-3.54, 2 K 3.71-3.81
K 0.6487 0.9718 0.3231  3 Au 3.45-3.54, 2 K 3.71-3.81
K 0.8201 0.2915 0.1116  3 Au 3.37-3.38, 1 Bi 3.73
K 0.8201 0.7085 0.5286  3 Au 3.37-3.38, 1 Bi 3.73
K 0.9317 0.7508 0.1809  1 Au 3.35, 2 Bi 3.71-3.73
Bi 0.0000 0.0000 0.0000  2 Au 3.26
Bi 0.5000 0.5000 0.0000  8 K 3.73-3.95
Au 0.1205 0.6205 0.5000  1 Au 3.01
Au 0.2911 0.0000 0.2911  1 Bi 3.26, 8 K 3.35-3.54
Au 0.7089 0.0000 0.7089  1 Bi 3.26, 8 K 3.35-3.54
Au 0.8795 0.3795 0.5000  1 Au 3.01

=====

# 2
DFT (GGA-PBE) results for an optimized crystal structure of K8BiAu2.

## Properties
**Total moment**: 0.00 μB per cell
**Formation energy**: -209 kJ/mol of formula units
**Space-group type**: No. 71
**Density of states at the Fermi level**: 0.556 states/eV/atom

Cell lengths 10.2142, 10.2142, 10.2142 Å; angles 147.03, 126.42, 64.36 degrees
Last column: nearest neighbours and their distance in Å.
Fractional coordinates of all 11 atoms:
K 0.1193 0.3409 0.7784  3 Au 3.57-3.75, 1 Bi 3.76, 3 K 3.88-3.95
K 0.1452 0.1452 0.0000  8 K 3.74-3.95, 2 Bi 3.83, 2 Au 4.16
K 0.3005 0.0000 0.3005  2 Au 3.65, 7 K 3.67-4.00, 2 Bi 4.01
K 0.4374 0.6591 0.7784  3 Au 3.57-3.75, 1 Bi 3.76, 3 K 3.88-3.95
K 0.5626 0.3409 0.2216  3 Au 3.57-3.75, 1 Bi 3.76, 3 K 3.88-3.95
K 0.6995 0.0000 0.6995  2 Au 3.65, 7 K 3.67-4.00, 2 Bi 4.01
K 0.8548 0.8548 0.0000  8 K 3.74-3.95, 2 Bi 3.83, 2 Au 4.16
K 0.8807 0.6591 0.2216  3 Au 3.57-3.75, 1 Bi 3.76, 3 K 3.88-3.95
Bi 0.0000 0.5000 0.5000  12 K 3.76-4.01
Au 0.3177 0.8177 0.5000  8 K 3.57-3.75
Au 0.6823 0.1823 0.5000  8 K 3.57-3.75

=====

Which of these has the highest formation energy?
K8BiAu2

=====

What is the formation energy in the second record?
-209 kJ/mol of formula units